Entry 1:
A relaxed structure of PaInPd. Source: Alexandria via LeMat-Bulk, functional PBE-GGA.

The value obtained for the volume is 67 Å³/f.u. The value obtained for the formation energy from the elements is -396 meV per atom.

The structure belongs to space group Pmma (No. 51); the cell edges are 13.9281, 3.7109 and 7.7789 Å and the angles 90.00°, 90.00° and 90.00°. The inequivalent atoms are Pa at (0.0481, 0.0000, 0.2298), Pa at (0.2500, 0.0000, 0.8396), In at (0.1130, 0.5000, 0.5620), In at (0.2500, 0.5000, 0.1891), Pd at (0.0953, 0.5000, 0.9341) and Pd at (0.2500, 0.0000, 0.4554).

---

Entry 2:
A relaxed structure of LiThAg2Ge2. Source: Alexandria via LeMat-Bulk, functional PBE-GGA.

The value obtained for the volume is 119 Å³/f.u. The value obtained for the formation energy from the elements is -414 meV per atom.

The structure belongs to space group P-3m1 (No. 164); the cell edges are 4.4314, 4.4314 and 6.9837 Å and the angles 90.00°, 90.00° and 120.00°. The inequivalent atoms are Li at (0.0000, 0.0000, 0.0000), Th at (0.0000, 0.0000, 0.5000), Ag at (0.3333, 0.6667, 0.1590) and Ge at (0.3333, 0.6667, 0.7473).

---

Entry 3:
A relaxed structure of LaBe2Hg. Source: Alexandria via LeMat-Bulk, functional PBE-GGA.

The value obtained for the volume is 87 Å³/f.u. The value obtained for the formation energy from the elements is 145 meV per atom.

The structure belongs to space group I4_1/amd (No. 141, origin choice 2); the cell edges are 4.6242, 4.6242 and 16.3231 Å and the angles 90.00°, 90.00° and 90.00°. The inequivalent atoms are La at (0.0000, 0.2500, 0.3750), Be at (0.0000, 0.0000, 0.0000) and Hg at (0.0000, 0.2500, 0.8750).

---

Entry 4:
A relaxed structure of LiCaPrGe. Source: Alexandria via LeMat-Bulk, functional PBE-GGA.

The value obtained for the volume is 100 Å³/f.u. The value obtained for the formation energy from the elements is -391 meV per atom.

The structure belongs to space group F-43m (No. 216); the cell edges are 7.3734, 7.3734 and 7.3734 Å and the angles 90.00°, 90.00° and 90.00°. The inequivalent atoms are Li at (0.0000, 0.0000, 0.0000), Ca at (0.2500, 0.2500, 0.7500), Pr at (0.2500, 0.2500, 0.2500) and Ge at (0.0000, 0.0000, 0.5000).

---

Entry 5:
A relaxed structure of LaIn2Fe. Source: Alexandria via LeMat-Bulk, functional PBE-GGA.

The value obtained for the volume is 113 Å³/f.u. The value obtained for the formation energy from the elements is 412 meV per atom.

The structure belongs to space group I-42d (No. 122); the cell edges are 5.0703, 5.0703 and 17.6025 Å and the angles 90.00°, 90.00° and 90.00°. The inequivalent atoms are La at (0.0000, 0.0000, 0.0000), In at (0.1015, 0.2500, 0.6250) and Fe at (0.0000, 0.0000, 0.5000).

---

Entry 6:
A relaxed structure of LaZrS2. Source: Alexandria via LeMat-Bulk, functional PBE-GGA.

Its formation energy without anion corrections is -1.70 eV/atom. The value obtained for the volume is 86 Å³/f.u.

The structure belongs to space group R3m (No. 160, hexagonal axes); the cell edges are 3.8441, 3.8441 and 20.2566 Å and the angles 90.00°, 90.00° and 120.00°. The inequivalent atoms are La at (0.0000, 0.0000, 0.0000), Zr at (0.0000, 0.0000, 0.1779), S at (0.0000, 0.0000, 0.5791) and S at (0.0000, 0.0000, 0.7668).

---

Entry 7:
A relaxed structure of TiCuNi4. Source: Alexandria via LeMat-Bulk, functional PBE-GGA.

The value obtained for the energy relative to the lowest polymorph listed for this composition is 2.33 kcal/mol of atoms. The value obtained for the volume is 71 Å³/f.u. The value obtained for the formation energy from the elements is -143 meV per atom.

The structure belongs to space group P6/mmm (No. 191); the cell edges are 4.0305, 4.0305 and 5.0662 Å and the angles 90.00°, 90.00° and 120.00°. The inequivalent atoms are Ti at (0.0000, 0.0000, 0.0000), Cu at (0.0000, 0.0000, 0.5000) and Ni at (0.3333, 0.6667, 0.2585).

---

Entry 8:
A relaxed structure of CoSn2H6Pd. Source: Alexandria via LeMat-Bulk, functional PBE-GGA.

Its final energy is -3.989 eV per atom. The value obtained for the volume is 112 Å³/f.u.

The structure belongs to space group P1 (No. 1); the cell edges are 4.7400, 5.0264 and 5.4335 Å and the angles 100.07°, 90.06° and 118.04°. The inequivalent atoms are Co at (0.0000, 0.0000, 0.0000), Sn at (0.3998, 0.7992, 0.1617), Sn at (0.7714, 0.5424, 0.6048), H at (0.1617, 0.1250, 0.2780), H at (0.1777, 0.3514, 0.9903), H at (0.2905, 0.1325, 0.8198), H at (0.8270, 0.6530, 0.0241), H at (0.8391, 0.1348, 0.8239), H at (0.9632, 0.1263, 0.2776) and Pd at (0.4494, 0.8990, 0.6719).

---

Entry 9:
A relaxed structure of Sr2Ga3P. Source: Alexandria via LeMat-Bulk, functional PBE-GGA.

The value obtained for the volume is 148 Å³/f.u. The value obtained for the formation energy from the elements is -569 meV per atom.

The structure belongs to space group Pmm2 (No. 25); the cell edges are 4.4093, 4.6340 and 7.2544 Å and the angles 90.00°, 90.00° and 90.00°. The inequivalent atoms are Sr at (0.0000, 0.0000, 0.0000), Sr at (0.5000, 0.0000, 0.4793), Ga at (0.0000, 0.5000, 0.3250), Ga at (0.0000, 0.5000, 0.6679), Ga at (0.5000, 0.5000, 0.8240) and P at (0.5000, 0.5000, 0.1622).

---

Entry 10:
A relaxed structure of VCd2N3. Source: Alexandria via LeMat-Bulk, functional PBE-GGA.

The value obtained for the energy relative to the lowest polymorph listed for this composition is 0.00 kcal/mol of atoms. Its formation energy without anion corrections is -0.13 eV/atom. The value obtained for the volume is 87 Å³/f.u.

The structure belongs to space group Cmc2_1 (No. 36); the cell edges are 10.3646, 6.0306 and 5.5963 Å and the angles 90.00°, 90.00° and 90.00°. The inequivalent atoms are V at (0.0000, 0.1565, 0.0000), Cd at (0.1624, 0.3291, 0.4932), N at (0.0000, 0.1161, 0.6633) and N at (0.1409, 0.3081, 0.0860).

---

Entry 11:
A relaxed structure of K3SnBi2. Source: Alexandria via LeMat-Bulk, functional PBE-GGA.

The value obtained for the energy relative to the lowest polymorph listed for this composition is 0.00 kcal/mol of atoms. The value obtained for the volume is 260 Å³/f.u. The value obtained for the formation energy from the elements is -297 meV per atom.

The structure belongs to space group Pnma (No. 62); the cell edges are 13.7813, 5.5284 and 13.6559 Å and the angles 90.00°, 90.00° and 90.00°. The inequivalent atoms are K at (0.0601, 0.2500, 0.1095), K at (0.1305, 0.7500, 0.5706), K at (0.1813, 0.2500, 0.8129), Sn at (0.1363, 0.2500, 0.3677), Bi at (0.0572, 0.7500, 0.3133) and Bi at (0.1980, 0.7500, 0.9961).

---

Entry 12:
A relaxed structure of AlV2Tc. Source: Alexandria via LeMat-Bulk, functional PBE-GGA.

The value obtained for the volume is 56 Å³/f.u. The value obtained for the formation energy from the elements is -230 meV per atom.

The structure belongs to space group P4/mmm (No. 123); the cell edges are 4.1401, 4.1401 and 3.2618 Å and the angles 90.00°, 90.00° and 90.00°. The inequivalent atoms are Al at (0.0000, 0.0000, 0.0000), V at (0.0000, 0.5000, 0.5000) and Tc at (0.5000, 0.5000, 0.0000).

---

no.,magnetic moment (μB/cell)
1,1.03
2,0.00
3,0.00
4,0.00
5,0.00
6,0.00
7,0.00
8,0.00
9,0.00
10,0.00
11,0.00
12,0.00